SrLiMg2, optimized geometry, DFT PBE; formation energy from the elements = 0.029 eV per atom
1.0
6.027 -0.039 0.109
4.539 3.966 0.109
2.227 0.828 4.923
Li Mg Sr
1 2 1
Cartesian
3.198 1.189 1.285
10.371 3.855 0.388
6.591 2.450 2.401
9.595 3.566 3.856

GeSbTe3, optimized geometry, DFT PBE; uncorrected formation energy = -0.07 eV/atom
1.0
-7.941 6.317 -1.145
-9.204 2.942 -3.304
-9.699 3.074 0.866
Sb Ge Te
1 1 3
Cartesian
-16.184 7.436 -2.160
-10.764 4.946 -1.437
-0.066 0.030 -0.009
-5.596 2.571 -0.747
-21.077 9.684 -2.813

GaHg3P, optimized geometry, DFT PBE; formation energy from the elements = 0.380 eV per atom
1.0
-4.281 -2.132 -1.995
2.677 -1.452 -4.192
1.165 -4.494 2.301
P Hg Ga
1 3 1
Cartesian
0.000 0.000 0.000
1.339 -0.726 -2.096
0.583 -2.247 1.151
-2.141 -1.066 -0.998
-0.219 -4.039 -1.943

CaCu2Ag, optimized geometry, DFT PBE; formation energy from the elements = 0.328 eV per atom
1.0
-1.885 -1.377 8.172
-0.991 -4.411 7.197
1.316 -2.216 8.099
Ca Cu Ag
1 2 1
Cartesian
-1.170 -6.003 17.602
-1.548 -7.943 23.291
-0.792 -4.063 11.913
-0.390 -2.001 5.867

no.,distance to the lowest polymorph of the same formula (meV per atom)
1,68
2,0
3,0
4,406